# 1
Below is a relaxed structure of Na3Hf3ZrS8, with properties calculated at the PBE-GGA level. Values from VASP.

Cell and atoms, written as Quantum ESPRESSO input:
```
&SYSTEM
  ibrav = 0, nat = 15, ntyp = 4
/
ATOMIC_SPECIES
Na 22.99 Na.upf
Hf 178.49 Hf.upf
Zr 91.22 Zr.upf
S 32.06 S.upf
ATOMIC_POSITIONS angstrom
Na 0.000 0.000 0.000
Na 3.144 1.819 0.000
Na 3.144 -1.819 0.000
Hf 1.054 1.819 3.444
Hf 1.054 -1.819 3.444
Hf 4.198 0.000 3.444
Zr -2.090 0.000 3.444
S 0.046 0.000 4.960
S 3.134 1.786 4.960
S 2.099 0.000 1.925
S 5.261 1.786 1.928
S 3.134 -1.786 4.960
S 6.297 0.000 4.963
S 5.261 -1.786 1.928
S 8.350 0.000 1.929
CELL_PARAMETERS angstrom
6.288 -3.637 0.000
6.288 3.637 0.000
-4.180 0.000 6.889
```

## Properties
Uncorrected formation energy (kcal/mol of atoms): -34.97

# 2
Below is a relaxed structure of Na3HfZr2S6, with properties calculated at the PBE-GGA level. Values from VASP.

Cell and atoms, written as Quantum ESPRESSO input:
```
&SYSTEM
  ibrav = 0, nat = 12, ntyp = 4
/
ATOMIC_SPECIES
Na 22.99 Na.upf
Hf 178.49 Hf.upf
Zr 91.22 Zr.upf
S 32.06 S.upf
ATOMIC_POSITIONS angstrom
Na 0.000 0.000 0.000
Na 3.178 1.852 0.000
Na 3.178 -1.852 0.000
Hf 2.118 0.000 3.424
Zr 2.118 3.672 3.424
Zr 2.118 -3.672 3.424
S 1.076 1.805 1.889
S 0.034 0.000 4.961
S 1.076 -1.805 1.889
S 3.160 1.805 4.960
S 4.202 0.000 1.887
S 3.160 -1.805 4.960
CELL_PARAMETERS angstrom
3.178 -5.504 0.000
3.178 5.504 0.000
-2.121 0.000 6.848
```

## Properties
Uncorrected formation energy (kcal/mol of atoms): -34.26

# 3
Below is a relaxed structure of Na2HfZrS4, with properties calculated at the PBE-GGA level. Values from VASP.

Cell and atoms, written as Quantum ESPRESSO input:
```
&SYSTEM
  ibrav = 0, nat = 8, ntyp = 4
/
ATOMIC_SPECIES
Na 22.99 Na.upf
Hf 178.49 Hf.upf
Zr 91.22 Zr.upf
S 32.06 S.upf
ATOMIC_POSITIONS angstrom
Na 0.000 0.000 0.000
Na 3.169 1.830 0.000
Hf -1.059 1.830 3.425
Zr 2.111 0.000 3.425
S -0.030 0.000 4.948
S 1.026 1.830 1.882
S 3.196 1.830 4.968
S 4.252 0.000 1.902
CELL_PARAMETERS angstrom
6.339 0.000 0.000
0.000 3.661 0.000
-2.117 0.000 6.850
```

## Properties
Uncorrected formation energy (kcal/mol of atoms): -34.12

Result set for calculated total energy: -98.13; -73.60; -49.49 eV/cell, one per record in the order listed.
Result set for total magnetic moment: 0.00; 0.00; 0.00 μB/cell, one per record in the order listed.